A plane-wave DFT calculation with PBE+U was carried out for crystalline Tb12Mn3O5 at its relaxed geometry.

Unit cell a=13.5200 b=13.5200 c=13.5200 alpha=109.47 beta=109.47 gamma=109.47
Atoms (fractional coordinates):
Tb 0.6882 0.4911 0.5972
O 0.1250 0.3750 0.2500
Mn 0.8750 0.1250 0.2500
O 0.0000 0.5000 0.0000
Tb 0.3029 0.8939 0.9911
Mn 0.6250 0.2500 0.3750
Mn 0.7500 0.8750 0.6250
Tb 0.8029 0.3118 0.9090
Tb 0.8118 0.9028 0.0089
Tb 0.9911 0.5972 0.1882
Tb 0.3118 0.8029 0.4090
O 0.3750 0.2500 0.1250
Tb 0.6971 0.1061 0.0089
Tb 0.8939 0.5910 0.9028
Tb 0.9090 0.8118 0.8029
Mn 0.2500 0.1250 0.3750
Tb 0.1882 0.0972 0.9911
Tb 0.1971 0.6882 0.0910
O 0.3750 0.1250 0.7500
Tb 0.9028 0.0910 0.8939
O 0.0000 0.5000 0.5000
Tb 0.6061 0.5972 0.9090
Tb 0.4090 0.1061 0.5972
O 0.8750 0.2500 0.6250
Tb 0.3939 0.4028 0.0910
Tb 0.0972 0.1882 0.4911
Mn 0.3750 0.7500 0.6250
Tb 0.0089 0.4028 0.8118
O 0.2500 0.8750 0.1250
Mn 0.1250 0.2500 0.8750
Tb 0.5089 0.3118 0.9028
Tb 0.5089 0.1971 0.1061
O 0.7500 0.1250 0.8750
Tb 0.0972 0.9090 0.1061
O 0.6250 0.7500 0.8750
Tb 0.1061 0.4090 0.0972
O 0.5000 0.5000 0.5000
Tb 0.5910 0.8939 0.4028
Tb 0.5972 0.6061 0.4090
Tb 0.1882 0.0910 0.6971
O 0.7500 0.6250 0.3750
O 0.6250 0.8750 0.2500
Tb 0.8939 0.3029 0.4911
O 0.0000 0.0000 0.5000
Tb 0.4028 0.3939 0.5910
Tb 0.9911 0.3939 0.3029
Tb 0.4911 0.8029 0.8939
Tb 0.5910 0.6971 0.6882
Tb 0.4028 0.0089 0.3118
O 0.8750 0.6250 0.7500
Mn 0.6250 0.3750 0.7500
Tb 0.6061 0.0089 0.1971
Tb 0.0910 0.9028 0.3939
Tb 0.0910 0.1882 0.1971
O 0.5000 0.0000 0.5000
Mn 0.3750 0.6250 0.2500
Tb 0.1971 0.5089 0.6061
Tb 0.3029 0.4090 0.8118
Mn 0.7500 0.3750 0.1250
Tb 0.3939 0.9911 0.8029
Tb 0.4090 0.3029 0.3118
Tb 0.6882 0.1971 0.5910
O 0.5000 0.0000 0.0000
Mn 0.8750 0.7500 0.1250
Mn 0.2500 0.6250 0.8750
Tb 0.8118 0.9090 0.3029
O 0.0000 0.0000 0.0000
Tb 0.9028 0.8118 0.5089
Tb 0.5972 0.9911 0.6882
Tb 0.6971 0.5910 0.1882
Tb 0.0089 0.6061 0.6971
Tb 0.3118 0.5089 0.4028
Tb 0.9090 0.0972 0.6061
Mn 0.1250 0.8750 0.7500
O 0.2500 0.3750 0.6250
O 0.1250 0.7500 0.3750
Tb 0.8029 0.4911 0.3939
O 0.5000 0.5000 0.0000
Tb 0.4911 0.6882 0.0972
Tb 0.1061 0.6971 0.5089

Properties
- theoretical density (g/cm3) = 7.51
- DFT total energy (eV/cell) = -512.6
- total magnetization (μB per atom) = 0.6352
- volume (Å³ per atom) = 23.78